Compound: CsCuTe2Rh
Source: Alexandria
Functional: PBE-GGA
Structure: optimized geometry

The energy is -1.9759 eV per atom. The space group is No. 123. For the calculated density, the calculation gives 4.00 Mg/m³. The volume comes out at 230 Å³ per cell.

Cell: 6.6714 5.1776 6.6714 Å, 90.00 90.00 90.00°
Last column: magnetic moment on the atom in μB.
Positions (direct):
Te  0.5000  0.0000  0.0000  -0.44
Te  0.0000  0.0000  0.5000  -0.61
Rh  0.0000  0.5000  0.0000  -0.97
Cs  0.0000  0.0000  0.0000  -0.07
Cu  0.5000  0.5000  0.5000  -0.01